Record 1
Compound: Re2Se
Source: Alexandria via LeMat-Bulk
Functional: GGA-PBE
Structure: optimized geometry

POSCAR file:
```
Re2Se
1.0
6.2907 0.0000 0.0000
-3.1453 5.4479 0.0000
0.0000 0.0000 4.0924
Re Se
6 3
Direct
0.0000 0.2682 0.0000 Re
0.0000 0.6142 0.5000 Re
0.2682 0.0000 0.0000 Re
0.3858 0.3858 0.5000 Re
0.6142 0.0000 0.5000 Re
0.7318 0.7318 0.0000 Re
0.0000 0.0000 0.5000 Se
0.3333 0.6667 0.0000 Se
0.6667 0.3333 0.0000 Se
```

The density of states at the Fermi level is 0.9 states/eV/cell. The calculation puts the relative energy among the computed polymorphs at 2.001 eV/f.u. For the calculated total energy, the calculation gives -0.3205 Ha/atom. For the formation energy from raw total energies, the calculation gives 0.738 eV per atom.

---

Record 2
Compound: MnZnRh
Source: Alexandria via LeMat-Bulk
Functional: GGA-PBE
Structure: optimized geometry

POSCAR file:
```
MnZnRh
1.0
0.0000 2.9086 2.9086
2.9086 0.0000 2.9086
2.9086 2.9086 0.0000
Mn Zn Rh
1 1 1
Direct
0.0000 0.0000 0.0000 Mn
0.7500 0.7500 0.7500 Zn
0.5000 0.5000 0.5000 Rh
```

The density of states at the Fermi level is 1.1 states/eV/cell. For the formation energy, the calculation gives 0.57 eV/f.u. For the calculated total energy, the calculation gives -0.2110 Ha/atom.

---

Record 3
Compound: NaAc8Ni5
Source: Alexandria via LeMat-Bulk
Functional: GGA-PBE
Structure: optimized geometry

POSCAR file:
```
NaAc8Ni5
1.0
11.1294 -2.1732 0.0000
11.1294 2.1732 0.0000
-2.4512 0.0000 10.1053
Na Ac Ni
1 8 5
Direct
0.0000 0.0000 0.0000 Na
0.0716 0.0716 0.6577 Ac
0.2578 0.2578 0.3375 Ac
0.3258 0.3258 0.0111 Ac
0.4050 0.4050 0.6541 Ac
0.5950 0.5950 0.3459 Ac
0.6742 0.6742 0.9889 Ac
0.7422 0.7422 0.6625 Ac
0.9284 0.9284 0.3423 Ac
0.1657 0.1657 0.5079 Ni
0.2034 0.2034 0.8225 Ni
0.5000 0.5000 0.5000 Ni
0.7966 0.7966 0.1775 Ni
0.8343 0.8343 0.4921 Ni
```

The density of states at the Fermi level is 9.7 states/eV/cell. For the formation energy, the calculation gives -2.18 eV/f.u. For the calculated total energy, the calculation gives -0.1714 Ha/atom.

---

Record 4
Compound: YFeBr2
Source: Alexandria via LeMat-Bulk
Functional: GGA-PBE
Structure: optimized geometry

POSCAR file:
```
YFeBr2
1.0
1.7258 -3.2421 0.0000
1.7258 3.2421 0.0000
0.0000 0.0000 8.7622
Y Fe Br
1 1 2
Direct
0.0000 0.0000 0.0000 Y
0.0000 0.0000 0.5000 Fe
0.5000 0.5000 0.2809 Br
0.5000 0.5000 0.7191 Br
```

The density of states at the Fermi level is 4.4 states/eV/cell. The calculation puts the relative energy among the computed polymorphs at 1.738 eV/f.u. For the calculated total energy, the calculation gives -0.1734 Ha/atom. For the formation energy from raw total energies, the calculation gives -0.151 eV per atom.

---

Record 5
Compound: Ba2Tc3O8
Source: Alexandria via LeMat-Bulk
Functional: GGA-PBE
Structure: optimized geometry

POSCAR file:
```
Ba2Tc3O8
1.0
6.4510 -2.9345 0.0000
6.4510 2.9345 0.0000
-1.9597 0.0000 5.1746
Ba Tc O
2 3 8
Direct
0.2348 0.2348 0.1937 Ba
0.7652 0.7652 0.8063 Ba
0.2084 0.7916 0.5000 Tc
0.5000 0.5000 0.0000 Tc
0.7916 0.2084 0.5000 Tc
0.1161 0.1161 0.4778 O
0.1797 0.6451 0.1201 O
0.3549 0.8203 0.8799 O
0.4167 0.4167 0.6014 O
0.5833 0.5833 0.3986 O
0.6451 0.1797 0.1201 O
0.8203 0.3549 0.8799 O
0.8839 0.8839 0.5222 O
```

The density of states at the Fermi level is 2.9 states/eV/cell. For the calculated total energy, the calculation gives -0.2767 Ha/atom. For the formation energy from raw total energies, the calculation gives -1.791 eV per atom.

---

Record 6
Compound: Sr2PaCu2Se6
Source: Alexandria via LeMat-Bulk
Functional: GGA-PBE
Structure: optimized geometry

POSCAR file:
```
Sr2PaCu2Se6
1.0
6.6440 -3.5014 0.0000
6.6440 3.5014 0.0000
-4.0228 0.0000 6.5614
Sr Pa Cu Se
2 1 2 6
Direct
0.2344 0.2344 0.2068 Sr
0.7656 0.7656 0.7932 Sr
0.0000 0.0000 0.5000 Pa
0.4374 0.4374 0.7890 Cu
0.5626 0.5626 0.2110 Cu
0.1867 0.6754 0.1785 Se
0.2322 0.2322 0.6074 Se
0.3246 0.8133 0.8215 Se
0.6754 0.1867 0.1785 Se
0.7678 0.7678 0.3926 Se
0.8133 0.3246 0.8215 Se
```

The density of states at the Fermi level is 5.6 states/eV/cell. For the calculated total energy, the calculation gives -0.1810 Ha/atom. For the formation energy from raw total energies, the calculation gives -1.111 eV per atom.

---

Record 7
Compound: TiInFe2Pt
Source: Alexandria via LeMat-Bulk
Functional: GGA-PBE
Structure: optimized geometry

POSCAR file:
```
TiInFe2Pt
1.0
4.3364 0.0000 0.0000
0.0000 4.3364 0.0000
0.0000 0.0000 4.8448
Ti In Fe Pt
1 1 2 1
Direct
0.0000 0.0000 0.0000 Ti
0.5000 0.5000 0.5000 In
0.0000 0.5000 0.0000 Fe
0.5000 0.0000 0.0000 Fe
0.0000 0.0000 0.5000 Pt
```

The density of states at the Fermi level is 4.8 states/eV/cell. The calculation puts the relative energy among the computed polymorphs at 0.000 eV/f.u. For the formation energy, the calculation gives 3.63 eV/f.u. For the calculated total energy, the calculation gives -0.2203 Ha/atom.

---

Record 8
Compound: MgScOs2
Source: Alexandria via LeMat-Bulk
Functional: GGA-PBE
Structure: optimized geometry

POSCAR file:
```
MgScOs2
1.0
-1.5273 2.2527 4.7770
1.5273 -2.2527 4.7770
1.5273 2.2527 -4.7770
Mg Sc Os
1 1 2
Direct
0.0000 0.0000 0.0000 Mg
0.2798 0.7798 0.5000 Sc
0.5338 0.5338 0.0000 Os
0.7543 0.2543 0.5000 Os
```

The density of states at the Fermi level is 3.1 states/eV/cell. For the formation energy, the calculation gives -0.24 eV/f.u. For the calculated total energy, the calculation gives -0.2813 Ha/atom.

---

Question: What is the formula in the first record?
Answer: Re2Se

---

Question: Which formula does entry 8 have?
Answer: MgScOs2